# 1
5
Lattice="5.127 0.000 0.000 0.000 5.127 0.000 0.000 0.000 5.370" Properties=species:S:1:pos:R:3 comment="YNiTeI2 (PBE-GGA, relaxed)" formation_energy_uncorrected_ev_per_atom=-0.247 polymorph_energy_ev_per_atom=0.000 dos_at_fermi_per_ev_atom=0.476 pbc="T T T"
Y 0.000 0.000 0.000
Ni 2.563 2.563 2.685
Te 2.563 2.563 0.000
I 0.000 2.563 2.685
I 2.563 0.000 2.685


# 2
5
Lattice="5.910 0.000 0.000 0.000 5.910 0.000 0.000 0.000 6.040" Properties=species:S:1:pos:R:3 comment="YNiTeI2 (PBE-GGA, relaxed)" formation_energy_uncorrected_ev_per_atom=0.044 polymorph_energy_ev_per_atom=0.290 dos_at_fermi_per_ev_atom=1.285 pbc="T T T"
Y 0.000 0.000 0.000
Ni 2.955 2.955 3.020
Te 0.000 0.000 3.020
I 0.000 2.955 0.000
I 2.955 0.000 0.000


# 3
5
Lattice="5.373 0.000 0.000 0.000 5.373 0.000 0.000 0.000 5.047" Properties=species:S:1:pos:R:3 comment="ZnNiTeI2 (PBE-GGA, relaxed)" formation_energy_uncorrected_ev_per_atom=0.323 polymorph_energy_ev_per_atom=0.000 dos_at_fermi_per_ev_atom=1.449 pbc="T T T"
Zn 0.000 0.000 0.000
Ni 2.686 2.686 2.523
Te 2.686 2.686 0.000
I 0.000 2.686 2.523
I 2.686 0.000 2.523